1.
# LiHgBr2, relaxed, DFT PBEsol
# ρ: 6.37 g/cm3
# energy: -2.1550 eV/atom
# D(E_F): 0.639 states/eV per atom
# volume: 23.9 Å³ per atom
# energy relative to the elements, uncorrected: -0.59 eV per atom
# E above lowest polymorph: 159 meV per atom
data_LiHgBr2
_chemical_formula_sum 'Li1 Hg1 Br2'
_cell_length_a 5.135
_cell_length_b 5.135
_cell_length_c 5.135
_cell_angle_alpha 60.00
_cell_angle_beta 60.00
_cell_angle_gamma 60.00
_symmetry_space_group_name_H-M 'P 1'
_symmetry_Int_Tables_number 1
_symmetry_space_group_name_Hall 'P 1'
loop_
_atom_site_label
_atom_site_fract_x
_atom_site_fract_y
_atom_site_fract_z
Br1 0.250 0.250 0.250
Br2 0.750 0.750 0.750
Hg1 0.500 0.500 0.500
Li1 0.000 0.000 0.000

2.
# In2MoCl, relaxed, DFT PBEsol
# ρ: 7.09 g/cm3
# energy: -4.6440 eV/atom
# D(E_F): 0.912 states/eV per atom
# volume: 21.2 Å³ per atom
# energy relative to the elements, uncorrected: 0.29 eV per atom
# E above lowest polymorph: 173 meV per atom
data_In2MoCl
_chemical_formula_sum 'In2 Mo1 Cl1'
_cell_length_a 2.893
_cell_length_b 4.282
_cell_length_c 7.304
_cell_angle_alpha 107.05
_cell_angle_beta 101.42
_cell_angle_gamma 90.00
_symmetry_space_group_name_H-M 'P 1'
_symmetry_Int_Tables_number 1
_symmetry_space_group_name_Hall 'P 1'
loop_
_atom_site_label
_atom_site_fract_x
_atom_site_fract_y
_atom_site_fract_z
Mo1 0.500 0.000 0.000
Cl1 0.000 0.500 0.000
In1 0.815 0.815 0.631
In2 0.185 0.185 0.369

3.
# Al2SiHg, relaxed, DFT PBEsol
# ρ: 6.57 g/cm3
# energy: -3.3871 eV/atom
# D(E_F): 0.403 states/eV per atom
# volume: 17.9 Å³ per atom
# energy relative to the elements, uncorrected: 0.24 eV per atom
# E above lowest polymorph: 120 meV per atom
data_Al2SiHg
_chemical_formula_sum 'Al2 Si1 Hg1'
_cell_length_a 3.890
_cell_length_b 3.890
_cell_length_c 5.466
_cell_angle_alpha 110.84
_cell_angle_beta 110.84
_cell_angle_gamma 90.00
_symmetry_space_group_name_H-M 'P 1'
_symmetry_Int_Tables_number 1
_symmetry_space_group_name_Hall 'P 1'
loop_
_atom_site_label
_atom_site_fract_x
_atom_site_fract_y
_atom_site_fract_z
Si1 0.250 0.750 0.500
Hg1 0.500 0.500 0.000
Al1 0.000 0.000 0.000
Al2 0.750 0.250 0.500

4.
# Na2TeH10O8, relaxed, DFT PBEsol
# ρ: 2.50 g/cm3
# energy: -5.0602 eV/atom
# D(E_F): 0.000 states/eV per atom
# volume: 9.9 Å³ per atom
data_Na2TeH10O8
_chemical_formula_sum 'Na8 Te4 H40 O32'
_cell_length_a 7.280
_cell_length_b 7.565
_cell_length_c 17.237
_cell_angle_alpha 94.71
_cell_angle_beta 90.00
_cell_angle_gamma 118.76
_symmetry_space_group_name_H-M 'P 1'
_symmetry_Int_Tables_number 1
_symmetry_space_group_name_Hall 'P 1'
loop_
_atom_site_label
_atom_site_fract_x
_atom_site_fract_y
_atom_site_fract_z
Na1 0.475 0.913 0.077
Na2 0.562 0.087 0.423
Na3 0.525 0.087 0.923
Na4 0.438 0.913 0.577
Na5 0.520 0.000 0.250
Na6 0.480 0.000 0.750
Na7 0.000 0.500 0.000
Na8 0.500 0.500 0.500
Te1 0.178 0.316 0.180
Te2 0.862 0.684 0.320
Te3 0.822 0.684 0.820
Te4 0.138 0.316 0.680
H1 0.786 0.311 0.147
H2 0.474 0.689 0.353
H3 0.214 0.689 0.853
H4 0.526 0.311 0.647
H5 0.563 0.310 0.146
H6 0.253 0.690 0.354
H7 0.437 0.690 0.854
H8 0.747 0.310 0.646
H9 0.440 0.602 0.961
H10 0.839 0.398 0.539
H11 0.560 0.398 0.039
H12 0.161 0.602 0.461
H13 0.376 0.523 0.046
H14 0.853 0.477 0.454
H15 0.624 0.477 0.954
H16 0.147 0.523 0.546
H17 0.126 0.676 0.160
H18 0.451 0.324 0.340
H19 0.874 0.324 0.840
H20 0.549 0.676 0.660
H21 0.125 0.892 0.156
H22 0.233 0.108 0.344
H23 0.875 0.108 0.844
H24 0.767 0.892 0.656
H25 0.843 0.998 0.956
H26 0.844 0.002 0.544
H27 0.157 0.002 0.044
H28 0.156 0.998 0.456
H29 0.883 0.072 0.045
H30 0.812 0.928 0.455
H31 0.117 0.928 0.955
H32 0.188 0.072 0.545
H33 0.802 0.895 0.155
H34 0.907 0.105 0.345
H35 0.198 0.105 0.845
H36 0.093 0.895 0.655
H37 0.590 0.673 0.155
H38 0.917 0.327 0.345
H39 0.410 0.327 0.845
H40 0.083 0.673 0.655
O1 0.038 0.058 0.122
O2 0.980 0.942 0.378
O3 0.962 0.942 0.878
O4 0.020 0.058 0.622
O5 0.426 0.429 0.123
O6 0.997 0.571 0.377
O7 0.574 0.571 0.877
O8 0.003 0.429 0.623
O9 0.037 0.436 0.135
O10 0.601 0.564 0.365
O11 0.963 0.564 0.865
O12 0.399 0.436 0.635
O13 0.207 0.827 0.173
O14 0.380 0.173 0.327
O15 0.793 0.173 0.827
O16 0.620 0.827 0.673
O17 0.793 0.058 0.999
O18 0.734 0.942 0.501
O19 0.207 0.942 0.001
O20 0.266 0.058 0.499
O21 0.658 0.821 0.175
O22 0.837 0.179 0.325
O23 0.342 0.179 0.825
O24 0.163 0.821 0.675
O25 0.631 0.225 0.154
O26 0.406 0.775 0.346
O27 0.369 0.775 0.846
O28 0.594 0.225 0.654
O29 0.350 0.596 0.005
O30 0.754 0.404 0.495
O31 0.650 0.404 0.995
O32 0.246 0.596 0.505

5.
# Mg3Sc, relaxed, DFT PBEsol
# ΔH_f (0 K): 0.1 eV per formula unit
# ρ: 2.16 g/cm3
# energy: -2.9117 eV/atom
# D(E_F): 0.874 states/eV per atom
# volume: 22.7 Å³ per atom
data_Mg3Sc
_chemical_formula_sum 'Mg3 Sc1'
_cell_length_a 3.565
_cell_length_b 5.054
_cell_length_c 5.908
_cell_angle_alpha 115.32
_cell_angle_beta 107.56
_cell_angle_gamma 90.00
_symmetry_space_group_name_H-M 'P 1'
_symmetry_Int_Tables_number 1
_symmetry_space_group_name_Hall 'P 1'
loop_
_atom_site_label
_atom_site_fract_x
_atom_site_fract_y
_atom_site_fract_z
Sc1 0.000 0.500 0.000
Mg1 0.242 0.242 0.485
Mg2 0.758 0.758 0.515
Mg3 0.500 0.000 0.000

6.
# Hf2HgGeAu, relaxed, DFT PBEsol
# ΔH_f (0 K): 3.4 eV per formula unit
# ρ: 11.27 g/cm3
# energy: -5.4143 eV/atom
# D(E_F): 0.638 states/eV per atom
# volume: 24.4 Å³ per atom
data_Hf2HgGeAu
_chemical_formula_sum 'Hf2 Hg1 Ge1 Au1'
_cell_length_a 4.603
_cell_length_b 5.146
_cell_length_c 5.146
_cell_angle_alpha 90.00
_cell_angle_beta 90.00
_cell_angle_gamma 90.00
_symmetry_space_group_name_H-M 'P 1'
_symmetry_Int_Tables_number 1
_symmetry_space_group_name_Hall 'P 1'
loop_
_atom_site_label
_atom_site_fract_x
_atom_site_fract_y
_atom_site_fract_z
Hf1 0.000 0.000 0.500
Hf2 0.000 0.500 0.000
Ge1 0.500 0.000 0.000
Au1 0.000 0.000 0.000
Hg1 0.500 0.500 0.500

7.
# Ni2SbRu, relaxed, DFT PBEsol
# ρ: 10.59 g/cm3
# energy: -6.7847 eV/atom
# D(E_F): 1.457 states/eV per atom
# volume: 13.3 Å³ per atom
# energy relative to the elements, uncorrected: -0.02 eV per atom
data_Ni2SbRu
_chemical_formula_sum 'Ni2 Sb1 Ru1'
_cell_length_a 3.865
_cell_length_b 3.865
_cell_length_c 4.497
_cell_angle_alpha 115.45
_cell_angle_beta 115.45
_cell_angle_gamma 90.00
_symmetry_space_group_name_H-M 'P 1'
_symmetry_Int_Tables_number 1
_symmetry_space_group_name_Hall 'P 1'
loop_
_atom_site_label
_atom_site_fract_x
_atom_site_fract_y
_atom_site_fract_z
Ni1 0.500 0.500 0.000
Ni2 0.750 0.250 0.500
Ru1 0.000 0.000 0.000
Sb1 0.250 0.750 0.500

8.
# Fe2CuMo, relaxed, DFT PBEsol
# ΔH_f (0 K): 0.7 eV per formula unit
# ρ: 9.71 g/cm3
# energy: -8.3234 eV/atom
# D(E_F): 1.035 states/eV per atom
# volume: 11.6 Å³ per atom
# E above lowest polymorph: 0 meV per atom
data_Fe2CuMo
_chemical_formula_sum 'Fe2 Cu1 Mo1'
_cell_length_a 4.032
_cell_length_b 4.032
_cell_length_c 4.032
_cell_angle_alpha 60.00
_cell_angle_beta 60.00
_cell_angle_gamma 60.00
_symmetry_space_group_name_H-M 'P 1'
_symmetry_Int_Tables_number 1
_symmetry_space_group_name_Hall 'P 1'
loop_
_atom_site_label
_atom_site_fract_x
_atom_site_fract_y
_atom_site_fract_z
Cu1 0.000 0.000 0.000
Fe1 0.250 0.250 0.250
Fe2 0.750 0.750 0.750
Mo1 0.500 0.500 0.500

9.
# Cu7Ir, relaxed, DFT PBEsol
# ΔH_f (0 K): 0.3 eV per formula unit
# ρ: 11.25 g/cm3
# energy: -4.9813 eV/atom
# D(E_F): 0.534 states/eV per atom
# volume: 11.8 Å³ per atom
data_Cu7Ir
_chemical_formula_sum 'Cu7 Ir1'
_cell_length_a 5.104
_cell_length_b 5.104
_cell_length_c 5.104
_cell_angle_alpha 60.00
_cell_angle_beta 60.00
_cell_angle_gamma 60.00
_symmetry_space_group_name_H-M 'P 1'
_symmetry_Int_Tables_number 1
_symmetry_space_group_name_Hall 'P 1'
loop_
_atom_site_label
_atom_site_fract_x
_atom_site_fract_y
_atom_site_fract_z
Cu1 0.500 0.000 0.000
Cu2 0.500 0.500 0.000
Cu3 0.000 0.500 0.000
Cu4 0.500 0.000 0.500
Cu5 0.000 0.000 0.500
Cu6 0.000 0.500 0.500
Cu7 0.500 0.500 0.500
Ir1 0.000 0.000 0.000

10.
# UCr4C4, relaxed, DFT PBEsol
# ΔH_f (0 K): -2.1 eV per formula unit
# ρ: 8.94 g/cm3
# energy: -10.4257 eV/atom
# D(E_F): 0.846 states/eV per atom
# volume: 10.2 Å³ per atom
data_UCr4C4
_chemical_formula_sum 'U1 Cr4 C4'
_cell_length_a 2.968
_cell_length_b 5.755
_cell_length_c 5.755
_cell_angle_alpha 86.19
_cell_angle_beta 75.06
_cell_angle_gamma 75.06
_symmetry_space_group_name_H-M 'P 1'
_symmetry_Int_Tables_number 1
_symmetry_space_group_name_Hall 'P 1'
loop_
_atom_site_label
_atom_site_fract_x
_atom_site_fract_y
_atom_site_fract_z
U1 0.000 0.000 0.000
Cr1 0.823 0.812 0.542
Cr2 0.177 0.188 0.458
Cr3 0.635 0.542 0.188
Cr4 0.365 0.458 0.812
C1 0.267 0.329 0.137
C2 0.733 0.671 0.863
C3 0.596 0.137 0.671
C4 0.404 0.863 0.329

11.
# BaOsW2, relaxed, DFT PBEsol
# ΔH_f (0 K): 3.8 eV per formula unit
# ρ: 15.17 g/cm3
# energy: -9.5503 eV/atom
# D(E_F): 0.962 states/eV per atom
# volume: 19.0 Å³ per atom
data_BaOsW2
_chemical_formula_sum 'Ba1 Os1 W2'
_cell_length_a 2.880
_cell_length_b 2.880
_cell_length_c 9.827
_cell_angle_alpha 90.00
_cell_angle_beta 90.00
_cell_angle_gamma 111.07
_symmetry_space_group_name_H-M 'P 1'
_symmetry_Int_Tables_number 1
_symmetry_space_group_name_Hall 'P 1'
loop_
_atom_site_label
_atom_site_fract_x
_atom_site_fract_y
_atom_site_fract_z
Ba1 0.000 0.000 0.491
Os1 0.500 0.500 0.209
W1 0.000 0.000 0.005
W2 0.500 0.500 0.795